This record from the Alexandria database describes TmMgRh after structural relaxation. The functional is PBE.

Unit cell a=3.3084 b=3.3084 c=6.1035 alpha=105.73 beta=105.73 gamma=90.00
Closest atoms and distances in Å follow each position.
Sites, in units of the cell vectors:
Tm (0.9226, 0.9226, 0.8453)  4 Rh 2.83, 1 Mg 3.12
Mg (0.6461, 0.6461, 0.2923)  4 Rh 2.79, 1 Tm 3.12
Rh (0.2812, 0.2812, 0.5625)  4 Mg 2.79, 4 Tm 2.83

Properties
The value obtained for the density is 7.970 Mg/m³. The energy is -5.033 eV/atom. The total magnetic moment comes out at 0.000 μB per atom.

---

This record from the Alexandria database describes TmMg8Rh2 after structural relaxation. The functional is PBE.

Unit cell a=5.1667 b=7.2627 c=7.2627 alpha=112.84 beta=82.02 gamma=82.02
Closest atoms and distances in Å follow each position.
Sites, in units of the cell vectors:
Rh (0.0000, 0.6902, 0.3098)  8 Mg 2.64-2.71
Rh (0.0000, 0.3098, 0.6902)  8 Mg 2.64-2.71
Mg (0.0778, 0.6707, 0.9324)  2 Rh 2.65-2.66
Mg (0.5000, 0.2661, 0.7339)  2 Rh 2.64
Mg (0.2767, 0.4120, 0.4120)  2 Rh 2.71, 2 Mg 2.85-2.99
Mg (0.5000, 0.7339, 0.2661)  2 Rh 2.64
Mg (0.9222, 0.0676, 0.3293)  2 Rh 2.65-2.66
Mg (0.0778, 0.9324, 0.6707)  2 Rh 2.65-2.66
Mg (0.7233, 0.5880, 0.5880)  2 Rh 2.71, 2 Mg 2.85-2.99
Mg (0.9222, 0.3293, 0.0676)  2 Rh 2.65-2.66
Tm (0.5000, 0.0000, 0.0000)  12 Mg 3.22-3.40

Properties
The value obtained for the density is 3.888 Mg/m³. The energy is -3.038 eV/atom. The total magnetic moment comes out at 0.000 μB per atom.

---

This record from the Alexandria database describes Tm2MgRh after structural relaxation. The functional is PBE.

Unit cell a=4.9825 b=4.9825 c=4.9825 alpha=60.00 beta=60.00 gamma=60.00
Closest atoms and distances in Å follow each position.
Sites, in units of the cell vectors:
Mg (0.5000, 0.5000, 0.5000)  8 Tm 3.05
Rh (0.0000, 0.0000, 0.0000)  8 Tm 3.05
Tm (0.2500, 0.2500, 0.2500)  4 Mg 3.05, 4 Rh 3.05
Tm (0.7500, 0.7500, 0.7500)  4 Rh 3.05, 4 Mg 3.05

Properties
The value obtained for the density is 8.830 Mg/m³. The energy is -4.920 eV/atom. The total magnetic moment comes out at 0.000 μB per atom.

---

This record from the Alexandria database describes TmMgRh after structural relaxation. The functional is PBE.

Unit cell a=4.5833 b=4.5833 c=4.5833 alpha=60.00 beta=60.00 gamma=60.00
Closest atoms and distances in Å follow each position.
Sites, in units of the cell vectors:
Rh (0.2500, 0.2500, 0.2500)  4 Mg 2.81, 4 Tm 2.81
Mg (0.5000, 0.5000, 0.5000)  4 Rh 2.81
Tm (0.0000, 0.0000, 0.0000)  4 Rh 2.81

Properties
The value obtained for the density is 7.223 Mg/m³. The energy is -5.005 eV/atom. The total magnetic moment comes out at 0.000 μB per atom.